No. 1
Here is Pu2Al17 after structural relaxation from Alexandria. Energies are from PBE-GGA.

Structure (POSCAR):
```
Pu2Al17
1.0
4.6619 2.6915 4.5272
-4.6619 2.6915 4.5272
0.0000 -5.3831 4.5272
Pu Al
2 17
Direct
0.1666 0.1666 0.1666
0.8334 0.8334 0.8334
0.0000 0.5000 0.5000
0.1482 0.1482 0.6590
0.1482 0.6590 0.1482
0.1990 0.5000 0.8010
0.1990 0.8010 0.5000
0.3410 0.8518 0.8518
0.4017 0.4017 0.4017
0.5000 0.0000 0.5000
0.5000 0.1990 0.8010
0.5000 0.5000 0.0000
0.5000 0.8010 0.1990
0.5983 0.5983 0.5983
0.6590 0.1482 0.1482
0.8010 0.1990 0.5000
0.8010 0.5000 0.1990
0.8518 0.3410 0.8518
0.8518 0.8518 0.3410
```

Results
- DFT formation energy (eV/atom) = -0.086
- space-group type = R-3m
- V (Å³/cell) = 340.83

***

No. 2
Here is Pu6Al23 after structural relaxation from Alexandria. Energies are from PBE-GGA.

Structure (POSCAR):
```
Pu6Al23
1.0
0.0000 6.4921 6.4921
6.4921 0.0000 6.4921
6.4921 6.4921 0.0000
Pu Al
6 23
Direct
0.2017 0.2017 0.7983
0.2017 0.7983 0.2017
0.2017 0.7983 0.7983
0.7983 0.2017 0.2017
0.7983 0.2017 0.7983
0.7983 0.7983 0.2017
0.0000 0.0000 0.5000
0.0000 0.5000 0.0000
0.0000 0.5000 0.5000
0.1421 0.6193 0.6193
0.1696 0.1696 0.1696
0.1696 0.1696 0.4911
0.1696 0.4911 0.1696
0.3807 0.3807 0.3807
0.3807 0.3807 0.8579
0.3807 0.8579 0.3807
0.4911 0.1696 0.1696
0.5000 0.0000 0.0000
0.5000 0.0000 0.5000
0.5000 0.5000 0.0000
0.5000 0.5000 0.5000
0.5089 0.8304 0.8304
0.6193 0.1421 0.6193
0.6193 0.6193 0.1421
0.6193 0.6193 0.6193
0.8304 0.5089 0.8304
0.8304 0.8304 0.5089
0.8304 0.8304 0.8304
0.8579 0.3807 0.3807
```

Results
- DFT formation energy (eV/atom) = -0.169
- space-group type = Fm-3m
- V (Å³/cell) = 547.25

***

No. 3
Here is PuAl11 after structural relaxation from Alexandria. Energies are from PBE-GGA.

Structure (POSCAR):
```
PuAl11
1.0
-5.4856 5.4856 3.5847
5.4856 -5.4856 3.5847
5.4856 5.4856 -3.5847
Pu Al
2 22
Direct
0.3750 0.6250 0.7500
0.6250 0.3750 0.2500
0.0000 0.0000 0.0000
0.0000 0.0000 0.5000
0.0000 0.5000 0.0000
0.1250 0.8750 0.2500
0.1329 0.5558 0.3343
0.1329 0.7987 0.5771
0.2013 0.2784 0.3343
0.2013 0.8671 0.9229
0.2784 0.2013 0.8343
0.2784 0.4442 0.0771
0.4442 0.2784 0.5771
0.4442 0.8671 0.1657
0.5000 0.0000 0.5000
0.5558 0.1329 0.8343
0.5558 0.7216 0.4229
0.7216 0.5558 0.9229
0.7216 0.7987 0.1657
0.7987 0.1329 0.0771
0.7987 0.7216 0.6657
0.8671 0.2013 0.4229
0.8671 0.4442 0.6657
0.8750 0.1250 0.7500
```

Results
- DFT formation energy (eV/atom) = -0.032
- space-group type = I4_1/amd
- V (Å³/cell) = 431.48

***

No. 4
Here is PuAl2 after structural relaxation from Alexandria. Energies are from PBE-GGA.

Structure (POSCAR):
```
PuAl2
1.0
0.0000 3.9021 3.9021
3.9021 0.0000 3.9021
3.9021 3.9021 0.0000
Pu Al
2 4
Direct
0.1250 0.1250 0.1250
0.8750 0.8750 0.8750
0.0000 0.5000 0.5000
0.5000 0.0000 0.5000
0.5000 0.5000 0.0000
0.5000 0.5000 0.5000
```

Results
- DFT formation energy (eV/atom) = -0.348
- space-group type = Fd-3m
- V (Å³/cell) = 118.83

***

No. 5
Here is PuAl2 after structural relaxation from Alexandria. Energies are from PBE-GGA.

Structure (POSCAR):
```
PuAl2
1.0
-1.5970 1.5970 5.9357
1.5970 -1.5970 5.9357
1.5970 1.5970 -5.9357
Pu Al
1 2
Direct
0.0000 0.0000 0.0000
0.3171 0.3171 0.0000
0.6829 0.6829 0.0000
```

Results
- DFT formation energy (eV/atom) = -0.153
- space-group type = I4/mmm
- V (Å³/cell) = 60.55

***

No. 6
Here is Pu6Al after structural relaxation from Alexandria. Energies are from PBE-GGA.

Structure (POSCAR):
```
Pu6Al
1.0
-3.3401 3.3401 3.3401
3.3401 -3.3401 3.3401
3.3401 3.3401 -3.3401
Pu Al
6 1
Direct
0.2500 0.5000 0.7500
0.2500 0.7500 0.5000
0.5000 0.2500 0.7500
0.5000 0.7500 0.2500
0.7500 0.2500 0.5000
0.7500 0.5000 0.2500
0.0000 0.0000 0.0000
```

Results
- DFT formation energy (eV/atom) = 0.434
- space-group type = Im-3m
- V (Å³/cell) = 149.06

***

No. 7
Here is Pu2Al7 after structural relaxation from Alexandria. Energies are from PBE-GGA.

Structure (POSCAR):
```
Pu2Al7
1.0
2.7463 1.5856 13.2436
-2.7463 1.5856 13.2436
0.0000 -3.1711 13.2436
Pu Al
4 14
Direct
0.0519 0.0519 0.0519
0.1517 0.1517 0.1517
0.8483 0.8483 0.8483
0.9481 0.9481 0.9481
0.0000 0.5000 0.5000
0.1062 0.6125 0.6125
0.2785 0.2785 0.2785
0.3875 0.3875 0.8938
0.3875 0.8938 0.3875
0.3887 0.3887 0.3887
0.5000 0.0000 0.5000
0.5000 0.5000 0.0000
0.5000 0.5000 0.5000
0.6113 0.6113 0.6113
0.6125 0.1062 0.6125
0.6125 0.6125 0.1062
0.7215 0.7215 0.7215
0.8938 0.3875 0.3875
```

Results
- DFT formation energy (eV/atom) = -0.212
- space-group type = R-3m
- V (Å³/cell) = 346.00

***

No. 8
Here is Rb3Pu3AlS8 after structural relaxation from Alexandria. Energies are from PBE-GGA.

Structure (POSCAR):
```
Rb3Pu3AlS8
1.0
3.9908 2.3041 7.7805
-3.9908 2.3041 7.7805
0.0000 -4.6082 7.7805
Rb Pu Al S
3 3 1 8
Direct
0.0000 0.5000 0.5000
0.5000 0.0000 0.5000
0.5000 0.5000 0.0000
0.0000 0.0000 0.5000
0.0000 0.5000 0.0000
0.5000 0.0000 0.0000
0.5000 0.5000 0.5000
0.2298 0.2298 0.2298
0.2511 0.7120 0.7120
0.2880 0.2880 0.7489
0.2880 0.7489 0.2880
0.7120 0.2511 0.7120
0.7120 0.7120 0.2511
0.7489 0.2880 0.2880
0.7702 0.7702 0.7702
```

Results
- space-group type = R-3m
- raw formation energy (eV per atom) = -1.410
- V (Å³/cell) = 429.27

***

No. 9
Here is Rb2PuAlS4 after structural relaxation from Alexandria. Energies are from PBE-GGA.

Structure (POSCAR):
```
Rb2PuAlS4
1.0
-4.0308 4.2874 5.8923
4.0308 -4.2874 5.8923
4.0308 4.2874 -5.8923
Rb Pu Al S
4 2 2 8
Direct
0.0000 0.0000 0.0000
0.5000 0.0000 0.0000
0.5000 0.0000 0.5000
0.5000 0.5000 0.5000
0.0000 0.5000 0.5000
0.5000 0.5000 0.0000
0.0000 0.0000 0.5000
0.0000 0.5000 0.0000
0.1802 0.7377 0.4425
0.2048 0.2623 0.9425
0.2159 0.2467 0.5308
0.2159 0.6851 0.9692
0.7841 0.3149 0.0308
0.7841 0.7533 0.4692
0.7952 0.7377 0.0575
0.8198 0.2623 0.5575
```

Results
- space-group type = Imma
- raw formation energy (eV per atom) = -1.164
- V (Å³/cell) = 407.32

***

No. 10
Here is Rb3Pu3AlSe8 after structural relaxation from Alexandria. Energies are from PBE-GGA.

Structure (POSCAR):
```
Rb3Pu3AlSe8
1.0
7.2531 -4.1804 0.0000
7.2531 4.1804 0.0000
-4.8239 0.0000 8.1120
Rb Pu Al Se
3 3 1 8
Direct
0.0000 0.0000 0.0000
0.0000 0.5000 0.0000
0.5000 0.0000 0.0000
0.0000 0.5000 0.5000
0.5000 0.0000 0.5000
0.5000 0.5000 0.5000
0.0000 0.0000 0.5000
0.2128 0.7542 0.6793
0.2161 0.2161 0.6803
0.2458 0.7872 0.3207
0.2672 0.2672 0.3040
0.7328 0.7328 0.6960
0.7542 0.2128 0.6793
0.7839 0.7839 0.3197
0.7872 0.2458 0.3207
```

Results
- space-group type = C2/m
- raw formation energy (eV per atom) = -1.249
- V (Å³/cell) = 491.92

***

No. 11
Here is Rb2PuAlSe4 after structural relaxation from Alexandria. Energies are from PBE-GGA.

Structure (POSCAR):
```
Rb2PuAlSe4
1.0
-4.2231 4.4793 6.1774
4.2231 -4.4793 6.1774
4.2231 4.4793 -6.1774
Rb Pu Al Se
4 2 2 8
Direct
0.0000 0.0000 0.0000
0.5000 0.0000 0.0000
0.5000 0.0000 0.5000
0.5000 0.5000 0.5000
0.0000 0.5000 0.5000
0.5000 0.5000 0.0000
0.0000 0.0000 0.5000
0.0000 0.5000 0.0000
0.1827 0.7378 0.4450
0.2072 0.2622 0.9450
0.2192 0.2483 0.5291
0.2192 0.6900 0.9709
0.7808 0.3100 0.0291
0.7808 0.7517 0.4709
0.7928 0.7378 0.0550
0.8173 0.2622 0.5550
```

Results
- space-group type = Imma
- raw formation energy (eV per atom) = -1.072
- V (Å³/cell) = 467.42

***

No. 12
Here is PuAl11Re after structural relaxation from Alexandria. Energies are from PBE-GGA.

Structure (POSCAR):
```
PuAl11Re
1.0
2.6358 -6.3734 0.0000
2.6358 6.3734 0.0000
-2.5626 0.0000 6.5758
Pu Al Re
1 11 1
Direct
0.0000 0.0000 0.0000
0.0000 0.0000 0.5000
0.0000 0.5000 0.0000
0.0202 0.3657 0.3586
0.2870 0.5006 0.7812
0.3657 0.0202 0.3586
0.4994 0.7130 0.2188
0.5000 0.0000 0.0000
0.5006 0.2870 0.7812
0.6343 0.9798 0.6414
0.7130 0.4994 0.2188
0.9798 0.6343 0.6414
0.5000 0.5000 0.5000
```

Results
- DFT formation energy (eV/atom) = -0.177
- space-group type = C2/m
- V (Å³/cell) = 220.93

***

No. 13
Here is PuAl4Re after structural relaxation from Alexandria. Energies are from PBE-GGA.

Structure (POSCAR):
```
PuAl4Re
1.0
7.7835 0.0000 0.0000
0.0000 4.1864 0.0000
0.0000 0.0000 6.7898
Pu Al Re
2 8 2
Direct
0.2500 0.0000 0.1297
0.7500 0.0000 0.8703
0.0000 0.0000 0.5000
0.0618 0.5000 0.8117
0.2500 0.5000 0.4601
0.4382 0.5000 0.8117
0.5000 0.0000 0.5000
0.5618 0.5000 0.1883
0.7500 0.5000 0.5399
0.9382 0.5000 0.1883
0.2500 0.0000 0.7187
0.7500 0.0000 0.2813
```

Results
- DFT formation energy (eV/atom) = -0.250
- space-group type = Pmma
- V (Å³/cell) = 221.25

***

No. 14
Here is PuAlRe after structural relaxation from Alexandria. Energies are from PBE-GGA.

Structure (POSCAR):
```
PuAlRe
1.0
-2.6479 2.8550 3.7018
2.6479 -2.8550 3.7018
2.6479 2.8550 -3.7018
Pu Al Re
2 2 2
Direct
0.3684 0.1184 0.2500
0.6316 0.8816 0.7500
0.0000 0.5000 0.5000
0.5000 0.5000 0.0000
0.0000 0.0000 0.5000
0.0000 0.5000 0.0000
```

Results
- DFT formation energy (eV/atom) = -0.157
- space-group type = Imma
- V (Å³/cell) = 111.94

***

No. 15
Here is Pu2Al3Re after structural relaxation from Alexandria. Energies are from PBE-GGA.

Structure (POSCAR):
```
Pu2Al3Re
1.0
4.6962 -2.7153 0.0000
4.6962 2.7153 0.0000
-3.1288 0.0000 4.4542
Pu Al Re
2 3 1
Direct
0.1278 0.1278 0.3838
0.8722 0.8722 0.6162
0.0000 0.5000 0.0000
0.5000 0.0000 0.0000
0.5000 0.5000 0.0000
0.5000 0.5000 0.5000
```

Results
- DFT formation energy (eV/atom) = -0.235
- space-group type = C2/m
- V (Å³/cell) = 113.60

***

No. 16
Here is PuAlReSi2 after structural relaxation from Alexandria. Energies are from PBE-GGA.

Structure (POSCAR):
```
PuAlReSi2
1.0
-1.9672 1.9672 5.4541
1.9672 -1.9672 5.4541
1.9672 1.9672 -5.4541
Pu Al Re Si
1 1 1 2
Direct
0.0000 0.0000 0.0000
0.2500 0.7500 0.5000
0.7500 0.2500 0.5000
0.3914 0.3914 0.0000
0.6086 0.6086 0.0000
```

Results
- space-group type = I-4m2
- raw formation energy (eV per atom) = -0.356
- V (Å³/cell) = 84.42

***

No. 17
Here is PuAlRh after structural relaxation from Alexandria. Energies are from PBE-GGA.

Structure (POSCAR):
```
PuAlRh
1.0
-1.5407 1.5407 5.8018
1.5407 -1.5407 5.8018
1.5407 1.5407 -5.8018
Pu Al Rh
1 1 1
Direct
0.0000 0.0000 0.0000
0.2953 0.2953 0.0000
0.6832 0.6832 0.0000
```

Results
- DFT formation energy (eV/atom) = -0.556
- space-group type = I4mm
- V (Å³/cell) = 55.09

***

No. 18
Here is PuAlRh after structural relaxation from Alexandria. Energies are from PBE-GGA.

Structure (POSCAR):
```
PuAlRh
1.0
4.5521 0.0000 0.0000
-2.2761 3.9422 0.0000
0.0000 0.0000 3.1564
Pu Al Rh
1 1 1
Direct
0.0000 0.0000 0.0000
0.3333 0.6667 0.5000
0.6667 0.3333 0.5000
```

Results
- DFT formation energy (eV/atom) = -0.433
- space-group type = P-6m2
- V (Å³/cell) = 56.64

***

No. 19
Here is Pu2Al12Rh after structural relaxation from Alexandria. Energies are from PBE-GGA.

Structure (POSCAR):
```
Pu2Al12Rh
1.0
5.9336 0.0000 0.0000
0.0000 5.9336 0.0000
0.0000 0.0000 16.2907
Pu Al Rh
4 24 2
Direct
0.2500 0.7500 0.2450
0.2500 0.7500 0.7550
0.7500 0.2500 0.2450
0.7500 0.2500 0.7550
0.0002 0.9998 0.0860
0.9998 0.0002 0.9140
0.9998 0.4998 0.0860
0.0002 0.5002 0.9140
0.0784 0.5784 0.4296
0.0784 0.9216 0.5704
0.2500 0.2500 0.1863
0.2500 0.2500 0.3381
0.2500 0.2500 0.6619
0.2500 0.2500 0.8137
0.4216 0.5784 0.5704
0.4216 0.9216 0.4296
0.5002 0.0002 0.0860
0.4998 0.9998 0.9140
0.4998 0.5002 0.0860
0.5002 0.4998 0.9140
0.5784 0.0784 0.5704
0.5784 0.4216 0.4296
0.7500 0.7500 0.1863
0.7500 0.7500 0.3381
0.7500 0.7500 0.6619
0.7500 0.7500 0.8137
0.9216 0.0784 0.4296
0.9216 0.4216 0.5704
0.2500 0.7500 0.0000
0.7500 0.2500 0.0000
```

Results
- DFT formation energy (eV/atom) = -0.270
- space-group type = P4/nbm
- V (Å³/cell) = 573.55